*w*
Here is SrRhSe at its PBEsol-relaxed geometry from Alexandria via LeMat-Bulk. Energies are from SCAN.

```
data_SrRhSe
_chemical_formula_sum 'Sr1 Rh1 Se1'
_symmetry_space_group_name_H-M 'P 1'
_symmetry_Int_Tables_number 1
_cell_length_a 4.770
_cell_length_b 4.770
_cell_length_c 4.770
_cell_angle_alpha 60.00
_cell_angle_beta 60.00
_cell_angle_gamma 60.00
loop_
_symmetry_equiv_pos_as_xyz
'x,y,z'
loop_
_atom_site_label
_atom_site_fract_x
_atom_site_fract_y
_atom_site_fract_z
Sr1 0.000 0.000 0.000
Rh1 0.750 0.750 0.750
Se1 0.250 0.250 0.250
```

## Properties
- M_tot (μB per formula unit) = 1.11

=====

*x*
Here is SrRhSe at its PBEsol-relaxed geometry from Alexandria via LeMat-Bulk. Energies are from SCAN.

```
data_SrRhSe
_chemical_formula_sum 'Sr1 Rh1 Se1'
_symmetry_space_group_name_H-M 'P 1'
_symmetry_Int_Tables_number 1
_cell_length_a 5.758
_cell_length_b 5.758
_cell_length_c 5.758
_cell_angle_alpha 144.13
_cell_angle_beta 144.13
_cell_angle_gamma 51.64
loop_
_symmetry_equiv_pos_as_xyz
'x,y,z'
loop_
_atom_site_label
_atom_site_fract_x
_atom_site_fract_y
_atom_site_fract_z
Sr1 0.000 0.000 0.000
Rh1 0.283 0.283 0.000
Se1 0.716 0.716 0.000
```

## Properties
- M_tot (μB per formula unit) = 0.00

=====

The structure shown above that is most stable: *x*.